Entry from Alexandria via LeMat-Bulk: crystalline PrErSn2 at its relaxed geometry (PBE-GGA).

crystal system	trigonal
polymorph energy (0 for the lowest one)	211.3	meV/atom
energy relative to the elements	-0.51	eV per atom
calculated total energy	-4.847	eV/atom

Cell and atoms, written as POSCAR:
```
PrErSn2
1.0
2.024 1.168 8.650
-2.024 1.168 8.650
0.000 -2.337 8.650
Pr Er Sn
1 1 2
direct
0.000 0.000 0.000
0.500 0.500 0.500
0.246 0.246 0.246
0.754 0.754 0.754
```

Entry from Alexandria via LeMat-Bulk: crystalline CrAgGe2Rh at its relaxed geometry (PBE-GGA).

crystal system	tetragonal
energy relative to the elements	0.60	eV per atom
calculated total energy	-5.216	eV/atom

Cell and atoms, written as POSCAR:
```
CrAgGe2Rh
1.0
4.603 0.000 0.000
0.000 4.603 0.000
0.000 0.000 4.534
Cr Ag Ge Rh
1 1 2 1
direct
0.000 0.000 0.000
0.500 0.500 0.500
0.000 0.500 0.000
0.500 0.000 0.000
0.000 0.000 0.500
```

Entry from Alexandria via LeMat-Bulk: crystalline SmHo8Cd6 at its relaxed geometry (PBE-GGA).

crystal system	trigonal
energy relative to the elements	-0.06	eV per atom
calculated total energy	-3.183	eV/atom

Cell and atoms, written as POSCAR:
```
SmHo8Cd6
1.0
4.483 2.588 6.348
-4.483 2.588 6.348
0.000 -5.177 6.348
Sm Ho Cd
1 8 6
direct
0.000 0.000 0.000
0.117 0.784 0.447
0.216 0.553 0.883
0.333 0.333 0.333
0.447 0.117 0.784
0.553 0.883 0.216
0.667 0.667 0.667
0.784 0.447 0.117
0.883 0.216 0.553
0.053 0.390 0.715
0.285 0.947 0.610
0.390 0.715 0.053
0.610 0.285 0.947
0.715 0.053 0.390
0.947 0.610 0.285
```

Entry from Alexandria via LeMat-Bulk: crystalline Sm4Mg at its relaxed geometry (PBE-GGA).

crystal system	cubic
polymorph energy (0 for the lowest one)	634.9	meV/atom
energy relative to the elements	0.61	eV per atom
calculated total energy	-3.485	eV/atom

Cell and atoms, written as POSCAR:
```
Sm4Mg
1.0
0.000 5.695 5.695
5.695 0.000 5.695
5.695 5.695 0.000
Sm Mg
8 2
direct
0.187 0.771 0.771
0.229 0.229 0.229
0.229 0.229 0.813
0.229 0.813 0.229
0.771 0.187 0.771
0.771 0.771 0.187
0.771 0.771 0.771
0.813 0.229 0.229
0.375 0.375 0.375
0.625 0.625 0.625
```

Entry from Alexandria via LeMat-Bulk: crystalline AlIr2Se at its relaxed geometry (PBE-GGA).

crystal system	orthorhombic
polymorph energy (0 for the lowest one)	222.3	meV/atom
calculated total energy	-6.193	eV/atom

Cell and atoms, written as POSCAR:
```
AlIr2Se
1.0
2.854 0.000 0.000
0.000 4.402 0.000
0.000 0.000 4.929
Al Ir Se
1 2 1
direct
0.000 0.000 0.000
0.000 0.500 0.500
0.500 0.500 0.000
0.500 0.000 0.500
```

Entry from Alexandria via LeMat-Bulk: crystalline RbAlZnH6 at its relaxed geometry (PBE-GGA).

crystal system	trigonal
calculated total energy	-2.946	eV/atom

Cell and atoms, written as POSCAR:
```
RbAlZnH6
1.0
4.728 0.000 0.000
-2.364 4.095 0.000
0.000 0.000 6.042
Rb Al Zn H
1 1 1 6
direct
0.000 0.000 0.000
0.667 0.333 0.500
0.333 0.667 0.500
0.376 0.013 0.667
0.376 0.363 0.333
0.637 0.013 0.333
0.637 0.624 0.667
0.987 0.363 0.667
0.987 0.624 0.333
```

Q: Which value of calculated total energy does entry 2 give?
A: -5.216 eV/atom